The following is a SCAN calculation of Hf3CrGe at its PBEsol-relaxed geometry, from Alexandria via LeMat-Bulk.

Lattice parameters (Å, degrees): 4.691 4.691 4.691 90.00 90.00 90.00
Positions (direct):
Ge 0.500 0.500 0.500
Cr 0.000 0.000 0.000
Hf 0.500 0.000 0.000
Hf 0.000 0.000 0.500
Hf 0.000 0.500 0.000

Summary:
E_form (kJ/mol of formula units): 265
Crystal system: cubic
DOS at the Fermi energy (states/eV per atom): 1.29
Space group: No. 221

***

The following is a SCAN calculation of HfCrGe2 at its PBEsol-relaxed geometry, from Alexandria via LeMat-Bulk.

Lattice parameters (Å, degrees): 8.085 9.117 9.864 90.00 90.00 90.00
Positions (direct):
Ge 0.000 0.875 0.593
Ge 0.157 0.172 0.681
Ge 0.500 0.042 0.121
Ge 0.000 0.375 0.907
Ge 0.843 0.172 0.681
Ge 0.843 0.828 0.319
Ge 0.843 0.672 0.819
Ge 0.000 0.038 0.126
Ge 0.000 0.625 0.093
Ge 0.500 0.958 0.879
Ge 0.500 0.368 0.900
Ge 0.157 0.672 0.819
Ge 0.000 0.962 0.874
Ge 0.500 0.542 0.379
Ge 0.000 0.125 0.407
Ge 0.157 0.328 0.181
Ge 0.500 0.458 0.621
Ge 0.843 0.328 0.181
Ge 0.000 0.538 0.374
Ge 0.000 0.462 0.626
Ge 0.157 0.828 0.319
Ge 0.500 0.868 0.600
Ge 0.500 0.632 0.100
Ge 0.500 0.132 0.400
Cr 0.256 0.500 0.000
Cr 0.251 0.079 0.255
Cr 0.256 0.000 0.500
Cr 0.749 0.579 0.245
Cr 0.744 0.500 0.000
Cr 0.251 0.421 0.755
Cr 0.251 0.921 0.745
Cr 0.744 0.000 0.500
Cr 0.749 0.921 0.745
Cr 0.749 0.079 0.255
Cr 0.251 0.579 0.245
Cr 0.749 0.421 0.755
Hf 0.500 0.666 0.820
Hf 0.255 0.671 0.548
Hf 0.500 0.334 0.180
Hf 0.500 0.834 0.320
Hf 0.745 0.829 0.048
Hf 0.500 0.166 0.680
Hf 0.255 0.829 0.048
Hf 0.255 0.171 0.952
Hf 0.255 0.329 0.452
Hf 0.745 0.171 0.952
Hf 0.745 0.329 0.452
Hf 0.745 0.671 0.548

Summary:
E_form (kJ/mol of formula units): -179
Crystal system: orthorhombic
DOS at the Fermi energy (states/eV per atom): 0.47
Space group: No. 55

***

The following is a SCAN calculation of HfNbCr2Ge at its PBEsol-relaxed geometry, from Alexandria via LeMat-Bulk.

Lattice parameters (Å, degrees): 4.413 4.413 4.750 90.00 90.00 90.00
Site moments in Bohr magnetons follow the coordinates.
Positions (direct):
Ge 0.000 0.000 0.000  -0.06
Hf 0.500 0.500 0.500  -0.29
Cr 0.000 0.500 0.000  2.70
Cr 0.500 0.000 0.000  2.70
Nb 0.000 0.000 0.500  -0.51

Summary:
E_form (kJ/mol of formula units): 324
Crystal system: tetragonal
DOS at the Fermi energy (states/eV per atom): 0.84
Space group: No. 123

***

The following is a SCAN calculation of HoCrGeO5 at its PBEsol-relaxed geometry, from Alexandria via LeMat-Bulk.

Lattice parameters (Å, degrees): 5.711 7.232 8.365 90.00 90.00 90.00
Site moments in Bohr magnetons follow the coordinates.
Positions (direct):
O 0.000 0.344 0.078  0.02
O 0.215 0.000 0.000  0.01
O 0.215 0.500 0.500  0.01
O 0.748 0.109 0.284  0.01
O 0.252 0.391 0.784  0.01
O 0.748 0.391 0.784  0.01
O 0.785 0.500 0.500  0.01
O 0.252 0.109 0.284  0.01
O 0.000 0.844 0.422  0.02
O 0.000 0.656 0.922  0.02
O 0.000 0.156 0.578  0.02
O 0.500 0.171 0.556  0.04
O 0.500 0.829 0.444  0.04
O 0.252 0.609 0.216  0.01
O 0.748 0.891 0.716  0.01
O 0.500 0.671 0.944  0.04
O 0.785 0.000 0.000  0.01
O 0.748 0.609 0.216  0.01
O 0.252 0.891 0.716  0.01
O 0.500 0.329 0.056  0.04
Ho 0.500 0.859 0.174  0.01
Ho 0.500 0.141 0.826  0.01
Ho 0.500 0.359 0.326  0.01
Ho 0.500 0.641 0.674  0.01
Cr 0.251 0.000 0.500  2.78
Cr 0.749 0.500 0.000  2.78
Cr 0.749 0.000 0.500  2.78
Cr 0.251 0.500 0.000  2.78
Ge 0.000 0.386 0.646  0.02
Ge 0.000 0.886 0.854  0.02
Ge 0.000 0.614 0.354  0.02
Ge 0.000 0.114 0.146  0.02

Summary:
Crystal system: orthorhombic
Raw formation energy (meV/atom): -2783
DOS at the Fermi energy (states/eV per atom): 0.00
Space group: No. 55

***

The following is a SCAN calculation of CrGeI2O at its PBEsol-relaxed geometry, from Alexandria via LeMat-Bulk.

Lattice parameters (Å, degrees): 3.599 5.547 5.547 90.00 90.00 90.00
Site moments in Bohr magnetons follow the coordinates.
Positions (direct):
I 0.000 0.500 0.000  -0.02
I 0.000 0.000 0.500  -0.02
O 0.500 0.000 0.000  -0.15
Ge 0.500 0.500 0.500  0.01
Cr 0.000 0.000 0.000  3.09

Summary:
Crystal system: tetragonal
Raw formation energy (meV/atom): -425
DOS at the Fermi energy (states/eV per atom): 0.44
Space group: No. 123

***

The following is a SCAN calculation of CrGeIO2 at its PBEsol-relaxed geometry, from Alexandria via LeMat-Bulk.

Lattice parameters (Å, degrees): 3.774 3.774 6.032 90.00 90.00 90.00
Site moments in Bohr magnetons follow the coordinates.
Positions (direct):
Ge 0.000 0.000 0.000  0.02
O 0.500 0.000 0.000  0.02
O 0.000 0.500 0.000  0.02
Cr 0.500 0.500 0.500  4.22
I 0.000 0.000 0.500  -0.04

Summary:
Crystal system: tetragonal
Raw formation energy (meV/atom): -408
DOS at the Fermi energy (states/eV per atom): 0.22
Space group: No. 123

***

- The highest DOS at the Fermi energy belongs to which entry?
  Hf3CrGe

***

- Which formula does entry 4 have?
  HoCrGeO5

***

- DOS at the Fermi energy of number 6 (CrGeIO2)?
  0.22 states/eV per atom